Entry 1:
PBE-GGA PmMgSiRh, relaxed; formation energy (no corrections) = -0.411 eV per atom
1.0
0.000 3.388 3.388
3.388 0.000 3.388
3.388 3.388 0.000
Pm Mg Si Rh
1 1 1 1
direct
0.000 0.000 0.000 Pm
0.500 0.500 0.500 Mg
0.750 0.750 0.750 Si
0.250 0.250 0.250 Rh

***

Entry 2:
PBE-GGA SiOsSe2, relaxed; formation energy (no corrections) = 0.488 eV per atom
1.0
1.967 1.135 5.424
-1.967 1.135 5.424
0.000 -2.271 5.424
Si Os Se
1 1 2
direct
0.000 0.000 0.000 Si
0.500 0.500 0.500 Os
0.239 0.239 0.239 Se
0.761 0.761 0.761 Se

***

Entry 3:
PBE-GGA In2Ag2Hg, relaxed; distance to the lowest polymorph of the same formula = 60 meV/atom; energy relative to the elements = 91 meV per atom
1.0
-2.026 2.026 7.211
2.026 -2.026 7.211
2.026 2.026 -7.211
In Ag Hg
2 2 1
direct
0.102 0.102 0.000 In
0.898 0.898 0.000 In
0.250 0.750 0.500 Ag
0.750 0.250 0.500 Ag
0.500 0.500 0.000 Hg

***

Entry 4:
PBE-GGA La2HgP, relaxed; distance to the lowest polymorph of the same formula = 187 meV/atom; energy relative to the elements = -798 meV per atom
1.0
-1.911 1.985 8.025
1.911 -1.985 8.025
1.911 1.985 -8.025
La Hg P
2 1 1
direct
0.000 0.000 0.000 La
0.712 0.212 0.500 La
0.386 0.386 0.000 Hg
0.141 0.641 0.500 P

***

Entry 5:
PBE-GGA Er4ScAl4, relaxed; energy relative to the elements = -196 meV per atom
1.0
8.591 0.000 0.000
0.000 8.591 0.000
0.000 0.000 5.755
Er Sc Al
8 2 8
direct
0.078 0.821 0.124 Er
0.179 0.578 0.624 Er
0.321 0.922 0.624 Er
0.422 0.679 0.124 Er
0.578 0.321 0.876 Er
0.679 0.078 0.376 Er
0.821 0.422 0.376 Er
0.922 0.179 0.876 Er
0.250 0.250 0.750 Sc
0.750 0.750 0.250 Sc
0.059 0.157 0.364 Al
0.157 0.441 0.136 Al
0.343 0.059 0.136 Al
0.441 0.343 0.364 Al
0.559 0.657 0.636 Al
0.657 0.941 0.864 Al
0.843 0.559 0.864 Al
0.941 0.843 0.636 Al

***

Entry 6:
PBE-GGA Ho6C3S, relaxed; formation energy (no corrections) = -0.627 eV per atom
1.0
10.089 0.000 0.000
0.000 3.595 0.000
-4.933 0.000 11.438
Ho C S
12 6 2
direct
0.015 0.250 0.253 Ho
0.144 0.750 0.579 Ho
0.183 0.750 0.098 Ho
0.329 0.750 0.394 Ho
0.346 0.250 0.933 Ho
0.485 0.250 0.228 Ho
0.515 0.750 0.772 Ho
0.654 0.750 0.067 Ho
0.671 0.250 0.606 Ho
0.817 0.250 0.902 Ho
0.856 0.250 0.421 Ho
0.985 0.750 0.747 Ho
0.001 0.750 0.378 C
0.253 0.250 0.248 C
0.416 0.750 0.079 C
0.584 0.250 0.921 C
0.747 0.750 0.752 C
0.999 0.250 0.622 C
0.381 0.250 0.583 S
0.619 0.750 0.417 S

***

Entry 7:
PBE-GGA CsPt2S2, relaxed; distance to the lowest polymorph of the same formula = 495 meV/atom; formation energy (no corrections) = -0.044 eV per atom
1.0
9.757 0.000 0.000
0.000 9.757 0.000
0.000 0.000 3.859
Cs Pt S
2 4 4
direct
0.000 0.000 0.000 Cs
0.500 0.500 0.000 Cs
0.218 0.282 0.500 Pt
0.282 0.782 0.500 Pt
0.718 0.218 0.500 Pt
0.782 0.718 0.500 Pt
0.144 0.356 0.000 S
0.356 0.856 0.000 S
0.644 0.144 0.000 S
0.856 0.644 0.000 S

***

Entry 8:
PBE-GGA K3NaH6Pt2, relaxed; raw total energy = -38.00 eV/cell
1.0
6.002 0.000 0.000
-3.001 5.198 0.000
0.000 0.000 6.722
K Na H Pt
3 1 6 2
direct
0.000 0.000 0.000 K
0.333 0.667 0.710 K
0.667 0.333 0.290 K
0.000 0.000 0.500 Na
0.178 0.355 0.274 H
0.178 0.822 0.274 H
0.355 0.178 0.726 H
0.645 0.822 0.274 H
0.822 0.178 0.726 H
0.822 0.645 0.726 H
0.333 0.667 0.216 Pt
0.667 0.333 0.784 Pt